A plane-wave DFT calculation with PBE was carried out for an optimized crystal structure of Pm6PrGe4.

Structure (CIF):
```
data_Pm6PrGe4
_chemical_formula_sum 'Pm12 Pr2 Ge8'
_space_group_name_H-M_alt 'I -4 2 m'
_space_group_IT_number 121
_space_group_name_Hall 'I -4 2'
_cell_length_a 7.7733
_cell_length_b 7.7733
_cell_length_c 11.1694
_cell_angle_alpha 90.00
_cell_angle_beta 90.00
_cell_angle_gamma 90.00
loop_
_atom_site_label
_atom_site_fract_x
_atom_site_fract_y
_atom_site_fract_z
Pm1 0.0000 0.5000 0.0000
Pm2 0.1560 0.1560 0.3269
Pr1 0.0000 0.0000 0.0000
Ge1 0.2210 0.2210 0.5928
```

## Properties
Energy relative to the elements ... -0.502 eV per atom
Total DFT energy (no corrections) ... -5.207 eV per atom


A plane-wave DFT calculation with PBE was carried out for an optimized crystal structure of PmPrGe.

Structure (CIF):
```
data_PmPrGe
_chemical_formula_sum 'Pm2 Pr2 Ge2'
_space_group_name_H-M_alt 'P 1 21/m 1'
_space_group_IT_number 11
_cell_length_a 4.5169
_cell_length_b 4.4533
_cell_length_c 8.4919
_cell_angle_alpha 90.00
_cell_angle_beta 90.01
_cell_angle_gamma 90.00
loop_
_space_group_symop_operation_xyz
'x,y,z'
'-x,-y,-z'
'-x,y+1/2,-z'
'x,-y+1/2,z'
loop_
_atom_site_label
_atom_site_fract_x
_atom_site_fract_y
_atom_site_fract_z
Pm1 0.2495 0.2500 0.3631
Pr1 0.2513 0.7500 0.0225
Ge1 0.2501 0.2500 0.7204
```

## Properties
Offset from the most stable computed form ... 65 meV per atom
Energy relative to the elements ... -0.549 eV per atom
Total DFT energy (no corrections) ... -5.264 eV per atom


A plane-wave DFT calculation with PBE was carried out for an optimized crystal structure of Pm3Pr2Ge4.

Structure (CIF):
```
data_Pm3Pr2Ge4
_chemical_formula_sum 'Pm6 Pr4 Ge8'
_space_group_name_H-M_alt 'P 1 21/c 1'
_space_group_IT_number 14
_cell_length_a 7.9941
_cell_length_b 8.0893
_cell_length_c 7.7913
_cell_angle_alpha 90.00
_cell_angle_beta 107.36
_cell_angle_gamma 90.00
loop_
_space_group_symop_operation_xyz
'x,y,z'
'-x,-y,-z'
'-x,y+1/2,-z+1/2'
'x,-y+1/2,z+1/2'
loop_
_atom_site_label
_atom_site_fract_x
_atom_site_fract_y
_atom_site_fract_z
Pm1 0.0000 0.0000 0.0000
Pm2 0.2559 0.1755 0.7448
Pr1 0.3007 0.6811 0.9170
Ge1 0.0111 0.6289 0.1307
Ge2 0.4183 0.0332 0.1309
```

## Properties
Offset from the most stable computed form ... 0 meV per atom
Energy relative to the elements ... -0.823 eV per atom
Total DFT energy (no corrections) ... -5.521 eV per atom


A plane-wave DFT calculation with PBE was carried out for an optimized crystal structure of PmPr2Ge.

Structure (CIF):
```
data_PmPr2Ge
_chemical_formula_sum 'Pm1 Pr2 Ge1'
_space_group_name_H-M_alt 'P 4/m m m'
_space_group_IT_number 123
_space_group_name_Hall '-P 4 2'
_cell_length_a 4.0668
_cell_length_b 4.0668
_cell_length_c 7.1560
_cell_angle_alpha 90.00
_cell_angle_beta 90.00
_cell_angle_gamma 90.00
loop_
_atom_site_label
_atom_site_fract_x
_atom_site_fract_y
_atom_site_fract_z
Pm1 0.0000 0.0000 0.0000
Pr1 0.5000 0.5000 0.2902
Ge1 0.0000 0.0000 0.5000
```

## Properties
Offset from the most stable computed form ... 129 meV per atom
Energy relative to the elements ... -0.297 eV per atom
Total DFT energy (no corrections) ... -5.029 eV per atom


> Which of these has the lowest total DFT energy (no corrections)?

Pm3Pr2Ge4


> What is the formula in the second record?

PmPrGe